Entry 1:
Material: MgPt
Method: DFT, PBE
State: optimized geometry

Geometry as POSCAR:
```
MgPt
1.0
4.630 0.000 0.000
0.000 7.054 2.464
0.000 -7.054 2.464
Mg Pt
5 5
Direct
0.000 0.000 0.000
0.000 0.179 0.787
0.000 0.787 0.179
0.500 0.157 0.535
0.500 0.535 0.157
0.000 0.390 0.600
0.000 0.600 0.390
0.500 0.339 0.339
0.500 0.733 0.952
0.500 0.952 0.733
```

Calculated values
volume: 16.1 Å³/atom
calculated total energy: -4.4322 eV/atom
theoretical density: 11.32 g/cm3

=====

Entry 2:
Material: MgPt
Method: DFT, PBE
State: optimized geometry

Geometry as POSCAR:
```
MgPt
1.0
4.625 0.000 0.000
0.000 7.160 2.487
0.000 -7.160 2.487
Mg Pt
5 5
Direct
0.000 0.000 0.000
0.000 0.351 0.580
0.000 0.580 0.351
0.500 0.703 0.925
0.500 0.925 0.703
0.000 0.163 0.777
0.000 0.777 0.163
0.500 0.096 0.494
0.500 0.349 0.349
0.500 0.494 0.096
```

Calculated values
volume: 16.5 Å³/atom
calculated total energy: -4.4125 eV/atom
theoretical density: 11.06 g/cm3

=====

Entry 3:
Material: MgPt
Method: DFT, PBE
State: optimized geometry

Geometry as POSCAR:
```
MgPt
1.0
5.745 0.000 0.000
0.000 4.636 0.000
-1.450 0.000 7.189
Mg Pt
6 6
Direct
0.024 0.250 0.103
0.146 0.750 0.558
0.366 0.250 0.436
0.634 0.750 0.564
0.854 0.250 0.442
0.976 0.750 0.897
0.192 0.250 0.761
0.311 0.750 0.238
0.473 0.750 0.889
0.527 0.250 0.111
0.689 0.250 0.762
0.808 0.750 0.239
```

Calculated values
volume: 16.0 Å³/atom
calculated total energy: -4.4026 eV/atom
theoretical density: 11.41 g/cm3

=====

Entry 4:
Material: MgPt
Method: DFT, PBE
State: optimized geometry

Geometry as POSCAR:
```
MgPt
1.0
5.681 0.000 0.000
-2.840 4.920 0.000
0.000 0.000 4.628
Mg Pt
4 4
Direct
0.000 0.000 0.000
0.171 0.343 0.500
0.171 0.829 0.500
0.657 0.829 0.500
0.000 0.500 0.000
0.500 0.000 0.000
0.500 0.500 0.000
0.667 0.333 0.500
```

Calculated values
volume: 16.2 Å³/atom
calculated total energy: -4.3217 eV/atom
theoretical density: 11.27 g/cm3

=====

Entry 5:
Material: Mg2Pt
Method: DFT, PBE
State: optimized geometry

Geometry as POSCAR:
```
Mg2Pt
1.0
4.744 0.000 0.000
0.000 9.043 0.000
0.000 0.000 4.873
Mg Pt
8 4
Direct
0.250 0.064 0.114
0.250 0.250 0.572
0.250 0.436 0.114
0.250 0.750 0.074
0.750 0.250 0.926
0.750 0.564 0.886
0.750 0.750 0.428
0.750 0.936 0.886
0.250 0.585 0.607
0.250 0.915 0.607
0.750 0.085 0.393
0.750 0.415 0.393
```

Calculated values
volume: 17.4 Å³/atom
calculated total energy: -3.5632 eV/atom
theoretical density: 7.74 g/cm3

=====

Entry 6:
Material: Mg2Pt
Method: DFT, PBE
State: optimized geometry

Geometry as POSCAR:
```
Mg2Pt
1.0
4.899 0.000 0.000
0.000 2.968 0.000
-0.758 0.000 7.140
Mg Pt
4 2
Direct
0.000 0.000 0.000
0.228 0.500 0.374
0.500 0.500 0.000
0.772 0.500 0.626
0.287 0.000 0.702
0.713 0.000 0.298
```

Calculated values
volume: 17.3 Å³/atom
calculated total energy: -3.6559 eV/atom
theoretical density: 7.80 g/cm3

=====

Entry 7:
Material: MgPt
Method: DFT, PBE
State: optimized geometry

Geometry as POSCAR:
```
MgPt
1.0
4.443 0.000 0.000
0.000 8.394 0.000
0.000 0.000 5.321
Mg Pt
6 6
Direct
0.000 0.060 0.000
0.000 0.303 0.402
0.000 0.697 0.902
0.000 0.940 0.500
0.500 0.226 0.770
0.500 0.774 0.270
0.000 0.382 0.899
0.000 0.618 0.399
0.500 0.097 0.294
0.500 0.455 0.186
0.500 0.545 0.686
0.500 0.903 0.794
```

Calculated values
volume: 16.5 Å³/atom
calculated total energy: -4.4487 eV/atom
theoretical density: 11.02 g/cm3

=====

Entry 8:
Material: Mg2Pt
Method: DFT, PBE
State: optimized geometry

Geometry as POSCAR:
```
Mg2Pt
1.0
7.636 0.000 0.000
0.000 4.753 0.000
-2.131 0.000 11.470
Mg Pt
16 8
Direct
0.029 0.250 0.312
0.040 0.250 0.079
0.074 0.250 0.568
0.104 0.250 0.819
0.277 0.750 0.344
0.288 0.750 0.106
0.392 0.250 0.990
0.393 0.250 0.483
0.607 0.750 0.517
0.608 0.750 0.010
0.712 0.250 0.894
0.723 0.250 0.656
0.896 0.750 0.181
0.926 0.750 0.432
0.960 0.750 0.921
0.971 0.750 0.688
0.273 0.750 0.582
0.296 0.750 0.857
0.361 0.250 0.234
0.402 0.250 0.728
0.598 0.750 0.272
0.639 0.750 0.766
0.704 0.250 0.143
0.727 0.250 0.418
```

Calculated values
volume: 17.3 Å³/atom
calculated total energy: -3.5038 eV/atom
theoretical density: 7.78 g/cm3

=====

Entry 9:
Material: MgPt
Method: DFT, PBE
State: optimized geometry

Geometry as POSCAR:
```
MgPt
1.0
6.384 0.000 0.000
0.000 13.853 0.000
0.000 0.000 4.592
Mg Pt
12 12
Direct
0.088 0.156 0.250
0.088 0.344 0.750
0.340 0.628 0.250
0.340 0.872 0.750
0.402 0.151 0.750
0.402 0.349 0.250
0.598 0.651 0.750
0.598 0.849 0.250
0.660 0.128 0.250
0.660 0.372 0.750
0.912 0.656 0.250
0.912 0.844 0.750
0.097 0.028 0.750
0.097 0.472 0.250
0.170 0.690 0.750
0.170 0.810 0.250
0.351 0.009 0.250
0.351 0.491 0.750
0.649 0.509 0.250
0.649 0.991 0.750
0.830 0.190 0.750
0.830 0.310 0.250
0.903 0.528 0.750
0.903 0.972 0.250
```

Calculated values
volume: 16.9 Å³/atom
calculated total energy: -4.3620 eV/atom
theoretical density: 10.76 g/cm3

=====

Entry 10:
Material: MgPt
Method: DFT, PBE
State: optimized geometry

Geometry as POSCAR:
```
MgPt
1.0
4.597 0.000 0.000
0.000 8.414 0.000
0.000 0.000 4.993
Mg Pt
6 6
Direct
0.000 0.081 0.000
0.000 0.409 0.982
0.000 0.591 0.482
0.000 0.919 0.500
0.500 0.396 0.342
0.500 0.604 0.842
0.000 0.259 0.496
0.000 0.741 0.996
0.500 0.077 0.319
0.500 0.265 0.841
0.500 0.735 0.341
0.500 0.923 0.819
```

Calculated values
volume: 16.1 Å³/atom
calculated total energy: -4.4364 eV/atom
theoretical density: 11.32 g/cm3

=====

Entry 11:
Material: MgPt
Method: DFT, PBE
State: optimized geometry

Geometry as POSCAR:
```
MgPt
1.0
4.628 0.000 0.000
0.000 11.180 0.000
0.000 0.000 4.944
Mg Pt
8 8
Direct
0.250 0.003 0.178
0.250 0.497 0.178
0.250 0.629 0.646
0.250 0.871 0.646
0.750 0.129 0.354
0.750 0.371 0.354
0.750 0.503 0.822
0.750 0.997 0.822
0.250 0.118 0.687
0.250 0.250 0.182
0.250 0.382 0.687
0.250 0.750 0.149
0.750 0.250 0.851
0.750 0.618 0.313
0.750 0.750 0.818
0.750 0.882 0.313
```

Calculated values
volume: 16.0 Å³/atom
calculated total energy: -4.4418 eV/atom
theoretical density: 11.39 g/cm3

=====

Entry 12:
Material: Mg2Pt
Method: DFT, PBE
State: optimized geometry

Geometry as POSCAR:
```
Mg2Pt
1.0
0.000 5.716 5.716
5.716 0.000 5.716
5.716 5.716 0.000
Mg Pt
4 2
Direct
0.000 0.000 0.000
0.000 0.000 0.500
0.000 0.500 0.000
0.500 0.000 0.000
0.125 0.125 0.125
0.875 0.875 0.875
```

Calculated values
volume: 62.3 Å³/atom
calculated total energy: -2.6689 eV/atom
theoretical density: 2.17 g/cm3